Record 1
# PBE-GGA Li2ZrPt, relaxed
data_Li2ZrPt
_symmetry_space_group_name_H-M 'F -4 3 m'
_symmetry_Int_Tables_number 216
_symmetry_space_group_name_Hall 'F -4 2 3'
_cell_length_a 6.366
_cell_length_b 6.366
_cell_length_c 6.366
_cell_angle_alpha 90.00
_cell_angle_beta 90.00
_cell_angle_gamma 90.00
loop_
_atom_site_label
_atom_site_type_symbol
_atom_site_fract_x
_atom_site_fract_y
_atom_site_fract_z
_atom_site_occupancy
Li1 Li 0.000 0.000 0.000 1
Li2 Li 0.250 0.250 0.250 1
Zr1 Zr 0.000 0.000 0.500 1
Pt1 Pt 0.250 0.250 0.750 1
# V = 258 Å³/cell
# Total magnetization = 0.00 μB per atom
# Raw total energy = -5.063 eV per atom

Record 2
# PBE-GGA LiZrPt2, relaxed
data_LiZrPt2
_symmetry_space_group_name_H-M 'P 4/m m m'
_symmetry_Int_Tables_number 123
_symmetry_space_group_name_Hall '-P 4 2'
_cell_length_a 3.385
_cell_length_b 3.385
_cell_length_c 5.732
_cell_angle_alpha 90.00
_cell_angle_beta 90.00
_cell_angle_gamma 90.00
loop_
_atom_site_label
_atom_site_type_symbol
_atom_site_fract_x
_atom_site_fract_y
_atom_site_fract_z
_atom_site_occupancy
Li1 Li 0.000 0.000 0.000 1
Zr1 Zr 0.000 0.000 0.500 1
Pt1 Pt 0.500 0.500 0.238 1
# V = 66 Å³/cell
# Total magnetization = 0.00 μB per atom
# Raw total energy = -6.536 eV per atom

Record 3
# PBE-GGA LiZrPt2, relaxed
data_LiZrPt2
_symmetry_space_group_name_H-M 'I 4/m m m'
_symmetry_Int_Tables_number 139
_symmetry_space_group_name_Hall '-I 4 2'
_cell_length_a 4.150
_cell_length_b 4.150
_cell_length_c 7.523
_cell_angle_alpha 90.00
_cell_angle_beta 90.00
_cell_angle_gamma 90.00
loop_
_atom_site_label
_atom_site_type_symbol
_atom_site_fract_x
_atom_site_fract_y
_atom_site_fract_z
_atom_site_occupancy
Li1 Li 0.000 0.000 0.000 1
Zr1 Zr 0.000 0.000 0.500 1
Pt1 Pt 0.000 0.500 0.250 1
# V = 130 Å³/cell
# Total magnetization = 0.00 μB per atom
# Raw total energy = -6.535 eV per atom

Record 4
# PBE-GGA LiZrPt2, relaxed
data_LiZrPt2
_symmetry_space_group_name_H-M 'P 63/m m c'
_symmetry_Int_Tables_number 194
_symmetry_space_group_name_Hall '-P 6c 2c'
_cell_length_a 4.3685
_cell_length_b 4.3685
_cell_length_c 8.3105
_cell_angle_alpha 90.00
_cell_angle_beta 90.00
_cell_angle_gamma 120.00
loop_
_atom_site_label
_atom_site_type_symbol
_atom_site_fract_x
_atom_site_fract_y
_atom_site_fract_z
_atom_site_occupancy
Li1 Li 0.0000 0.0000 0.2500 1
Zr1 Zr 0.3333 0.6667 0.2500 1
Pt1 Pt 0.3333 0.6667 0.5869 1
# V = 137 Å³/cell
# Total magnetization = 0.00 μB per atom
# Raw total energy = -6.184 eV per atom

> Which of these has the highest raw total energy?

Li2ZrPt

Please write out number 2 again, unchanged.
# PBE-GGA LiZrPt2, relaxed
data_LiZrPt2
_symmetry_space_group_name_H-M 'P 4/m m m'
_symmetry_Int_Tables_number 123
_symmetry_space_group_name_Hall '-P 4 2'
_cell_length_a 3.385
_cell_length_b 3.385
_cell_length_c 5.732
_cell_angle_alpha 90.00
_cell_angle_beta 90.00
_cell_angle_gamma 90.00
loop_
_atom_site_label
_atom_site_type_symbol
_atom_site_fract_x
_atom_site_fract_y
_atom_site_fract_z
_atom_site_occupancy
Li1 Li 0.000 0.000 0.000 1
Zr1 Zr 0.000 0.000 0.500 1
Pt1 Pt 0.500 0.500 0.238 1
# V = 66 Å³/cell
# Total magnetization = 0.00 μB per atom
# Raw total energy = -6.536 eV per atom

> total magnetization of number 1 (Li2ZrPt)?

0.00 μB per atom